# LiHo4Au2 | Alexandria via LeMat-Bulk | PBE | optimized geometry
data_LiHo4Au2
_cell_length_a 9.0779
_cell_length_b 9.0779
_cell_length_c 9.0779
_cell_angle_alpha 31.81
_cell_angle_beta 31.81
_cell_angle_gamma 31.81
_space_group_name_H-M_alt 'P 1'
_space_group_IT_number 1
loop_
_space_group_symop_operation_xyz
'x,y,z'
loop_
_atom_site_label
_atom_site_fract_x
_atom_site_fract_y
_atom_site_fract_z
Li1 0.0000 0.0000 0.0000
Ho1 0.2089 0.2089 0.2089
Ho2 0.3796 0.3796 0.3796
Ho3 0.6204 0.6204 0.6204
Ho4 0.7911 0.7911 0.7911
Au1 0.0950 0.0950 0.0950
Au2 0.9050 0.9050 0.9050
# Total moment in μB/cell: 0.0
# Electronic total energy in eV for the cell shown: -29.4
# Energy of formation in kJ/mol of formula units: -248
# Volume in Å³ per atom: 26.4